{"formula": "LaY2Co9", "functional": "GGA-PBE", "state": "relaxed", "cell": [[2.5198, 1.4548, 8.1318], [-2.5198, 1.4548, 8.1318], [0.0000, -2.9096, 8.1318]], "species": ["La", "Y", "Y", "Co", "Co", "Co", "Co", "Co", "Co", "Co", "Co", "Co"], "fractional_positions": [[0.0000, 0.0000, 0.0000], [0.1402, 0.1402, 0.1402], [0.8598, 0.8598, 0.8598], [0.0791, 0.5841, 0.5841], [0.3351, 0.3351, 0.3351], [0.4159, 0.4159, 0.9209], [0.4159, 0.9209, 0.4159], [0.5000, 0.5000, 0.5000], [0.5841, 0.0791, 0.5841], [0.5841, 0.5841, 0.0791], [0.6649, 0.6649, 0.6649], [0.9209, 0.4159, 0.4159]], "formation_enthalpy_0k_ev_per_atom": -0.12}